(1)
Entry from Alexandria: CaSm2Ho after structural relaxation (PBE).

abc: 12.3036 12.3036 12.3036
angles: 16.96 16.96 16.96
Sites, in units of the cell vectors:
1 Ca 0.0000 0.0000 0.0000
2 Sm 0.2449 0.2449 0.2449
3 Sm 0.7551 0.7551 0.7551
4 Ho 0.5000 0.5000 0.5000

Computed properties:
uncorrected energy: -3.959 eV per atom

=====

(2)
Entry from Alexandria: LaURh2 after structural relaxation (PBE).

abc: 3.4295 3.4295 7.3385
angles: 90.00 90.00 90.00
Sites, in units of the cell vectors:
1 La 0.0000 0.0000 0.0000
2 U 0.0000 0.0000 0.5000
3 Rh 0.5000 0.5000 0.2953
4 Rh 0.5000 0.5000 0.7047

Computed properties:
uncorrected energy: -8.249 eV per atom

=====

| no. | total moment (μB/cell) |
| --- | --- |
| 1 | 0.00 |
| 2 | 1.71 |